Arrangement a

{
  "formula": "Ac2PH",
  "functional": "PBE",
  "state": "optimized geometry",
  "sg": "Fm-3m, No. 225",
  "n_ef_per_ev_fu": 2.72,
  "cell": [[5.167, 0.000, 0.000], [2.584, 4.475, 0.000], [2.584, 1.492, 4.219]],
  "species": ["P", "Ac", "Ac", "H"],
  "frac_coords": [[0.000, 0.000, 0.000], [0.250, 0.250, 0.250], [0.750, 0.750, 0.750], [0.500, 0.500, 0.500]]
}



Arrangement b

{
  "formula": "Ac2PH",
  "functional": "PBE",
  "state": "optimized geometry",
  "sg": "P4/mmm, No. 123",
  "n_ef_per_ev_fu": 2.18,
  "cell": [[3.843, 0.000, 0.000], [0.000, 5.073, 0.000], [0.000, 0.000, 5.073]],
  "species": ["P", "Ac", "Ac", "H"],
  "frac_coords": [[0.500, 0.500, 0.500], [0.000, 0.000, 0.500], [0.000, 0.500, 0.000], [0.500, 0.000, 0.000]]
}



Arrangement c

{
  "formula": "Ac2PH",
  "functional": "PBE",
  "state": "optimized geometry",
  "sg": "R3m, No. 160",
  "n_ef_per_ev_fu": 1.18,
  "cell": [[-1.290, -2.983, 2.533], [-0.049, -3.915, -1.284], [6.366, -3.183, 2.846]],
  "species": ["Ac", "Ac", "P", "H"],
  "frac_coords": [[0.084, 0.084, 0.748], [0.252, 0.252, 0.244], [0.668, 0.668, 0.997], [0.496, 0.496, 0.512]]
}



Order of stability, best first: arrangement c, arrangement a, arrangement b



Arrangement a

{
  "formula": "Ac4HPb2",
  "functional": "PBE",
  "state": "optimized geometry",
  "sg": "P2_1/m, No. 11",
  "n_ef_per_ev_fu": 6.14,
  "cell": [[-1.235, -0.888, 6.846], [7.053, -1.565, 1.070], [2.405, 9.636, -1.761]],
  "species": ["Ac", "Ac", "Ac", "Ac", "Ac", "Ac", "Ac", "Ac", "H", "H", "Pb", "Pb", "Pb", "Pb"],
  "frac_coords": [[0.529, 0.501, 0.283], [0.119, 0.750, 0.933], [0.881, 0.250, 0.067], [0.529, 0.999, 0.283], [0.928, 0.250, 0.641], [0.471, 0.001, 0.717], [0.471, 0.499, 0.717], [0.072, 0.750, 0.359], [0.275, 0.750, 0.195], [0.725, 0.250, 0.805], [0.692, 0.750, 0.037], [0.308, 0.250, 0.963], [0.186, 0.250, 0.409], [0.814, 0.750, 0.591]]
}



Arrangement b

{
  "formula": "Ac4HPb2",
  "functional": "PBE",
  "state": "optimized geometry",
  "sg": "I4/mmm, No. 139",
  "n_ef_per_ev_fu": 7.35,
  "cell": [[5.082, 0.000, 0.000], [0.000, 5.082, 0.000], [-2.541, -2.541, 9.293]],
  "species": ["Pb", "Pb", "H", "Ac", "Ac", "Ac", "Ac"],
  "frac_coords": [[0.637, 0.637, 0.273], [0.363, 0.363, 0.727], [0.000, 0.000, 0.000], [0.821, 0.821, 0.641], [0.179, 0.179, 0.359], [0.000, 0.500, 0.000], [0.500, 0.000, 0.000]]
}



Order of stability, best first: arrangement a, arrangement b



Arrangement a

{
  "formula": "AcH2Pd",
  "functional": "PBE",
  "state": "optimized geometry",
  "sg": "R-3m, No. 166",
  "n_ef_per_ev_fu": 1.14,
  "cell": [[-1.838, -3.926, 0.756], [1.181, -3.484, -2.415], [2.424, -3.244, 1.856]],
  "species": ["H", "H", "Ac", "Pd"],
  "frac_coords": [[0.754, 0.754, 0.739], [0.246, 0.246, 0.261], [0.000, 0.000, 0.000], [0.500, 0.500, 0.500]]
}



Arrangement b

{
  "formula": "AcH2Pd",
  "functional": "PBE",
  "state": "optimized geometry",
  "sg": "P2_1/c, No. 14",
  "n_ef_per_ev_fu": 0.92,
  "cell": [[4.691, -0.268, 0.000], [-0.741, 7.674, 0.000], [0.000, 0.000, 7.360]],
  "species": ["Ac", "Ac", "Ac", "Ac", "H", "H", "H", "H", "H", "H", "H", "H", "Pd", "Pd", "Pd", "Pd"],
  "frac_coords": [[0.817, 0.223, 0.921], [0.183, 0.277, 0.421], [0.183, 0.777, 0.079], [0.817, 0.723, 0.579], [0.048, 0.047, 0.666], [0.952, 0.453, 0.166], [0.952, 0.953, 0.334], [0.048, 0.547, 0.834], [0.385, 0.111, 0.161], [0.385, 0.611, 0.339], [0.615, 0.889, 0.839], [0.615, 0.389, 0.661], [0.371, 0.974, 0.698], [0.629, 0.026, 0.302], [0.629, 0.526, 0.198], [0.371, 0.474, 0.802]]
}



Order of stability, best first: arrangement b, arrangement a



Arrangement a

{
  "formula": "AcH4Pd",
  "functional": "PBE",
  "state": "optimized geometry",
  "sg": "Immm, No. 71",
  "n_ef_per_ev_fu": 2.01,
  "cell": [[3.945, 0.004, 1.825], [1.366, 3.998, 2.207], [0.187, 0.071, 4.762]],
  "species": ["Ac", "H", "H", "H", "H", "Pd"],
  "frac_coords": [[0.002, 0.503, 0.499], [0.667, 0.096, 0.574], [0.336, 0.909, 0.423], [0.336, 0.427, 0.905], [0.667, 0.578, 0.092], [0.502, 0.003, 0.999]]
}



Arrangement b

{
  "formula": "AcH4Pd",
  "functional": "PBE",
  "state": "optimized geometry",
  "sg": "C2/c, No. 15",
  "n_ef_per_ev_fu": 0.98,
  "cell": [[4.706, 0.000, 0.000], [-2.353, 4.263, -0.284], [0.000, -1.929, 7.394]],
  "species": ["Ac", "Ac", "H", "H", "H", "H", "H", "H", "H", "H", "Pd", "Pd"],
  "frac_coords": [[0.216, 0.000, 0.250], [0.784, 0.000, 0.750], [0.153, 0.414, 0.104], [0.739, 0.586, 0.396], [0.847, 0.586, 0.896], [0.261, 0.414, 0.604], [0.255, 0.920, 0.580], [0.335, 0.080, 0.920], [0.745, 0.080, 0.420], [0.665, 0.920, 0.080], [0.500, 0.500, 0.000], [0.000, 0.500, 0.500]]
}



Order of stability, best first: arrangement b, arrangement a



Arrangement a

{
  "formula": "AcPm2H",
  "functional": "PBE",
  "state": "optimized geometry",
  "sg": "R-3m, No. 166",
  "n_ef_per_ev_fu": 3.18,
  "cell": [[-3.748, -0.666, 0.223], [-1.276, -3.549, 0.564], [-1.380, -0.106, 9.106]],
  "species": ["H", "Ac", "Pm", "Pm"],
  "frac_coords": [[0.000, 0.000, 0.000], [0.500, 0.500, 0.500], [0.281, 0.281, 0.156], [0.719, 0.719, 0.844]]
}



Arrangement b

{
  "formula": "AcPm2H",
  "functional": "PBE",
  "state": "optimized geometry",
  "sg": "P4/mmm, No. 123",
  "n_ef_per_ev_fu": 4.52,
  "cell": [[-0.257, -2.119, 2.782], [3.361, 0.619, 0.781], [-2.471, 6.990, 5.096]],
  "species": ["H", "Ac", "Pm", "Pm"],
  "frac_coords": [[0.500, 0.500, 0.000], [0.500, 0.500, 0.500], [0.000, 0.000, 0.820], [0.000, 0.000, 0.180]]
}



Order of stability, best first: arrangement a, arrangement b



Arrangement a

{
  "formula": "AcH4Pt",
  "functional": "PBE",
  "state": "optimized geometry",
  "sg": "C2/c, No. 15",
  "n_ef_per_ev_fu": 1.52,
  "cell": [[-3.993, 1.939, -1.843], [-0.175, -4.186, 2.243], [-0.015, 5.434, 5.750]],
  "species": ["Ac", "Ac", "H", "H", "H", "H", "H", "H", "H", "H", "Pt", "Pt"],
  "frac_coords": [[0.224, 0.000, 0.250], [0.776, 0.000, 0.750], [0.148, 0.407, 0.080], [0.742, 0.593, 0.420], [0.852, 0.593, 0.920], [0.258, 0.407, 0.580], [0.258, 0.927, 0.583], [0.331, 0.073, 0.917], [0.742, 0.073, 0.417], [0.669, 0.927, 0.083], [0.500, 0.500, 0.000], [0.000, 0.500, 0.500]]
}



Arrangement b

{
  "formula": "AcH4Pt",
  "functional": "PBE",
  "state": "optimized geometry",
  "sg": "P4_2/nmc, No. 137",
  "n_ef_per_ev_fu": 2.05,
  "cell": [[4.624, 0.000, 0.000], [0.000, 4.624, 0.000], [0.000, 0.000, 7.048]],
  "species": ["Ac", "Ac", "H", "H", "H", "H", "H", "H", "H", "H", "Pt", "Pt"],
  "frac_coords": [[0.000, 0.000, 0.500], [0.500, 0.500, 0.000], [0.267, 0.000, 0.165], [0.733, 0.000, 0.165], [0.000, 0.733, 0.835], [0.000, 0.267, 0.835], [0.500, 0.233, 0.665], [0.767, 0.500, 0.335], [0.233, 0.500, 0.335], [0.500, 0.767, 0.665], [0.000, 0.000, 0.000], [0.500, 0.500, 0.500]]
}



Order of stability, best first: arrangement a, arrangement b



Arrangement a

{
  "formula": "Ac2PuH",
  "functional": "PBE",
  "state": "optimized geometry",
  "sg": "R-3m, No. 166",
  "n_ef_per_ev_fu": 12.19,
  "cell": [[-0.340, 1.695, -3.308], [-3.281, 1.457, -1.021], [1.399, 9.914, 2.831]],
  "species": ["H", "Ac", "Ac", "Pu"],
  "frac_coords": [[0.500, 0.500, 0.500], [0.114, 0.114, 0.657], [0.886, 0.886, 0.343], [0.000, 0.000, 0.000]]
}



Arrangement b

{
  "formula": "Ac2PuH",
  "functional": "PBE",
  "state": "optimized geometry",
  "sg": "P4/mmm, No. 123",
  "n_ef_per_ev_fu": 8.58,
  "cell": [[3.613, 0.000, 0.000], [0.000, 3.613, 0.000], [0.000, 0.000, 9.003]],
  "species": ["H", "Ac", "Ac", "Pu"],
  "frac_coords": [[0.500, 0.500, 0.000], [0.000, 0.000, 0.798], [0.000, 0.000, 0.202], [0.500, 0.500, 0.500]]
}



Order of stability, best first: arrangement a, arrangement b



Arrangement a

{
  "formula": "AcHRh",
  "functional": "PBE",
  "state": "optimized geometry",
  "sg": "Pmma, No. 51",
  "n_ef_per_ev_fu": 1.44,
  "cell": [[-2.340, 3.097, -0.138], [-3.477, -2.597, 0.678], [0.681, 0.808, 6.595]],
  "species": ["Ac", "Ac", "H", "H", "Rh", "Rh"],
  "frac_coords": [[0.312, 0.716, 0.150], [0.312, 0.216, 0.643], [0.811, 0.216, 0.308], [0.811, 0.716, 0.485], [0.812, 0.216, 0.055], [0.812, 0.716, 0.738]]
}



Arrangement b

{
  "formula": "AcHRh",
  "functional": "PBE",
  "state": "optimized geometry",
  "sg": "Pnma, No. 62",
  "n_ef_per_ev_fu": 1.19,
  "cell": [[-2.279, 4.639, -0.613], [-2.890, -1.649, -1.736], [-5.217, -1.258, 9.881]],
  "species": ["Ac", "Ac", "Ac", "Ac", "H", "H", "H", "H", "Rh", "Rh", "Rh", "Rh"],
  "frac_coords": [[0.750, 0.499, 0.137], [0.750, 0.001, 0.637], [0.250, 0.501, 0.863], [0.250, 0.999, 0.363], [0.750, 0.999, 0.397], [0.750, 0.501, 0.897], [0.250, 0.499, 0.103], [0.250, 0.001, 0.603], [0.750, 0.499, 0.408], [0.750, 0.001, 0.908], [0.250, 0.999, 0.092], [0.250, 0.501, 0.592]]
}



Arrangement c

{
  "formula": "AcHRh",
  "functional": "PBE",
  "state": "optimized geometry",
  "sg": "P-6m2, No. 187",
  "n_ef_per_ev_fu": 1.69,
  "cell": [[-0.491, -0.551, 3.838], [-3.810, -1.268, -0.669], [3.065, -2.679, 0.007]],
  "species": ["H", "Ac", "Rh"],
  "frac_coords": [[0.167, 0.333, 0.667], [0.666, 0.667, 0.333], [0.167, 0.000, 0.000]]
}



Order of stability, best first: arrangement b, arrangement a, arrangement c



Arrangement a

{
  "formula": "AcHRh",
  "functional": "PBE",
  "state": "optimized geometry",
  "sg": "Pbca, No. 61",
  "n_ef_per_ev_fu": 0.80,
  "cell": [[5.974, 0.000, 0.000], [0.000, 6.072, 0.000], [0.000, 0.000, 12.857]],
  "species": ["H", "H", "H", "H", "H", "H", "H", "H", "Ac", "Ac", "Ac", "Ac", "Ac", "Ac", "Ac", "Ac", "Rh", "Rh", "Rh", "Rh", "Rh", "Rh", "Rh", "Rh"],
  "frac_coords": [[0.013, 0.327, 0.502], [0.987, 0.673, 0.498], [0.487, 0.827, 0.498], [0.987, 0.173, 0.002], [0.513, 0.173, 0.502], [0.013, 0.827, 0.998], [0.513, 0.673, 0.998], [0.487, 0.327, 0.002], [0.867, 0.499, 0.859], [0.133, 0.501, 0.141], [0.633, 0.999, 0.141], [0.133, 0.001, 0.359], [0.367, 0.001, 0.859], [0.867, 0.999, 0.641], [0.367, 0.501, 0.641], [0.633, 0.499, 0.359], [0.886, 0.999, 0.899], [0.114, 0.001, 0.101], [0.614, 0.499, 0.101], [0.114, 0.501, 0.399], [0.386, 0.501, 0.899], [0.886, 0.499, 0.601], [0.386, 0.001, 0.601], [0.614, 0.999, 0.399]]
}



Arrangement b

{
  "formula": "AcHRh",
  "functional": "PBE",
  "state": "optimized geometry",
  "sg": "I4mm, No. 107",
  "n_ef_per_ev_fu": 1.20,
  "cell": [[-2.260, 3.334, -1.065], [-3.492, -2.234, 0.416], [2.670, 0.417, 3.787]],
  "species": ["H", "Ac", "Rh"],
  "frac_coords": [[0.321, 0.321, 0.642], [0.981, 0.981, 0.963], [0.548, 0.548, 0.095]]
}



Order of stability, best first: arrangement a, arrangement b



Arrangement a

{
  "formula": "Ac4HRh2",
  "functional": "PBE",
  "state": "optimized geometry",
  "sg": "R-3m, No. 166",
  "n_ef_per_ev_fu": 4.73,
  "cell": [[4.299, 0.000, 0.000], [2.150, 3.723, 0.000], [2.150, 1.241, 13.492]],
  "species": ["Ac", "Ac", "Ac", "Ac", "H", "Rh", "Rh"],
  "frac_coords": [[0.121, 0.121, 0.636], [0.293, 0.293, 0.120], [0.707, 0.707, 0.880], [0.879, 0.879, 0.364], [0.000, 0.000, 0.000], [0.415, 0.415, 0.756], [0.585, 0.585, 0.244]]
}



Arrangement b

{
  "formula": "Ac4HRh2",
  "functional": "PBE",
  "state": "optimized geometry",
  "sg": "I4/mmm, No. 139",
  "n_ef_per_ev_fu": 5.18,
  "cell": [[5.171, 0.000, 0.000], [0.000, 5.171, 0.000], [-2.585, -2.585, 7.539]],
  "species": ["H", "Ac", "Ac", "Ac", "Ac", "Rh", "Rh"],
  "frac_coords": [[0.000, 0.000, 0.000], [0.802, 0.802, 0.604], [0.198, 0.198, 0.396], [0.000, 0.500, 0.000], [0.500, 0.000, 0.000], [0.617, 0.617, 0.235], [0.383, 0.383, 0.765]]
}



Order of stability, best first: arrangement a, arrangement b



Arrangement a

{
  "formula": "Ac2HRu",
  "functional": "PBE",
  "state": "optimized geometry",
  "sg": "R-3m, No. 166",
  "n_ef_per_ev_fu": 2.38,
  "cell": [[4.267, 0.000, 0.000], [2.133, 3.695, 0.000], [2.133, 1.232, 6.497]],
  "species": ["Ru", "Ac", "Ac", "H"],
  "frac_coords": [[0.000, 0.000, 0.000], [0.250, 0.250, 0.250], [0.750, 0.750, 0.750], [0.500, 0.500, 0.500]]
}



Arrangement b

{
  "formula": "Ac2HRu",
  "functional": "PBE",
  "state": "optimized geometry",
  "sg": "C2/m, No. 12",
  "n_ef_per_ev_fu": 2.27,
  "cell": [[-4.237, 2.590, 3.017], [-2.816, -5.068, 0.396], [5.836, -2.439, 10.291]],
  "species": ["Ac", "Ac", "Ac", "Ac", "Ac", "Ac", "Ac", "Ac", "H", "H", "H", "H", "Ru", "Ru", "Ru", "Ru"],
  "frac_coords": [[0.750, 0.000, 0.870], [0.250, 0.000, 0.130], [0.750, 0.500, 0.630], [0.250, 0.500, 0.370], [0.750, 0.500, 0.120], [0.250, 0.500, 0.880], [0.750, 0.000, 0.380], [0.250, 0.000, 0.620], [0.250, 0.499, 0.625], [0.750, 0.501, 0.375], [0.250, 0.001, 0.875], [0.750, 0.999, 0.125], [0.250, 0.000, 0.375], [0.750, 0.000, 0.625], [0.250, 0.500, 0.125], [0.750, 0.500, 0.875]]
}



Order of stability, best first: arrangement b, arrangement a